This record from OQMD describes crystalline Cs2K2HgBi2 at its relaxed geometry. The functional is PBE.

```
Cs2K2HgBi2
1.0
3.1665 1.8282 10.8994
-3.1665 1.8282 10.8994
0.0000 -3.6564 10.8994
Bi Cs Hg K
2 2 1 2
Direct
0.0853 0.0853 0.0853
0.9147 0.9147 0.9147
0.2060 0.2060 0.2060
0.7940 0.7940 0.7940
0.0000 0.0000 0.0000
0.3838 0.3838 0.3838
0.6162 0.6162 0.6162
```

Distance to the lowest polymorph of the same formula   2 meV per atom

---

This record from OQMD describes crystalline Sc4NiBiN2 at its relaxed geometry. The functional is PBE.

```
Sc4NiBiN2
1.0
-1.9945 -1.8848 1.8443
2.8368 -1.2388 -1.1618
6.4060 4.1731 11.1922
Bi N Ni Sc
1 2 1 4
Direct
0.6667 0.3333 0.5000
0.3333 0.6667 0.2389
0.3333 0.6667 0.7611
0.0000 0.0000 0.0000
0.6667 0.3333 0.1360
0.0000 0.0000 0.3158
0.0000 0.0000 0.6842
0.6667 0.3333 0.8640
```

Magnetization   0.00 μB/atom

---

This record from OQMD describes crystalline HoHgOs at its relaxed geometry. The functional is PBE.

```
HoHgOs
1.0
-1.9588 -2.5432 3.4250
0.4194 1.3664 4.4713
-3.7370 1.6553 2.3088
Hg Ho Os
1 1 1
Direct
0.2500 0.2500 0.2500
0.0000 0.0000 0.0000
0.7500 0.7500 0.7500
```

Magnetization   0.02 μB/atom
Distance to the lowest polymorph of the same formula   416 meV per atom
Calculated formation energy   0.786 eV per atom

---

This record from OQMD describes crystalline TbCo9Si2 at its relaxed geometry. The functional is PBE.

```
TbCo9Si2
1.0
-0.3634 -6.0343 -1.6021
-6.1357 2.7307 3.3128
-2.6787 -1.2529 -6.8799
Co Si Tb
18 4 2
Direct
0.3608 0.1676 0.0792
0.0600 0.3324 0.0792
0.6392 0.0792 0.1676
0.6932 0.4208 0.1676
0.6250 0.7500 0.2500
0.9400 0.0792 0.3324
0.2276 0.4208 0.3324
0.3068 0.1676 0.4208
0.7724 0.3324 0.4208
0.2276 0.6676 0.5792
0.6932 0.8324 0.5792
0.0600 0.9208 0.6676
0.7724 0.5792 0.6676
0.3750 0.2500 0.7500
0.3068 0.5792 0.8324
0.3608 0.9208 0.8324
0.9400 0.6676 0.9208
0.6392 0.8324 0.9208
0.0000 0.0000 0.0000
0.5000 0.5000 0.0000
0.5000 0.0000 0.5000
0.5000 0.5000 0.5000
0.1250 0.7500 0.2500
0.8750 0.2500 0.7500
```

Magnetization   0.00 μB/atom

---

This record from OQMD describes crystalline LiCoAsIr at its relaxed geometry. The functional is PBE.

```
LiCoAsIr
1.0
-2.2645 -2.1560 -2.6435
-4.0825 0.0174 0.3122
-2.2601 1.9349 -2.8129
As Co Ir Li
1 1 1 1
Direct
0.0000 0.0000 0.0000
0.7500 0.7500 0.7500
0.2500 0.2500 0.2500
0.5000 0.5000 0.5000
```

Magnetization   0.06 μB/atom
Distance to the lowest polymorph of the same formula   0 meV per atom

---

This record from OQMD describes crystalline ScAlPt at its relaxed geometry. The functional is PBE.

```
ScAlPt
1.0
0.0000 3.1395 3.1395
3.1395 0.0000 3.1395
3.1395 3.1395 0.0000
Al Pt Sc
1 1 1
Direct
0.2500 0.2500 0.2500
0.7500 0.7500 0.7500
0.0000 0.0000 0.0000
```

Magnetization   0.00 μB/atom

---

Calculated total energy per entry: -2.15 -7.51 -4.58 -6.89 -5.84 -5.66 eV per atom